Entry 1:
An optimized crystal structure of Ca2Hg2P. Source: Alexandria, functional PBE.

* raw total energy: -23.7 eV per cell
* D(E_F): 0.339 states/eV per atom
* distance to the lowest polymorph of the same formula: 64.8 meV/atom
* DFT formation energy: -0.37 eV/atom

a = 7.6797 Å, b = 7.6797 Å, c = 4.3917 Å
α = 90.00°, β = 90.00°, γ = 90.00°
Space group P4/mbm (No. 127)
Unique sites:
Ca  0.1759  0.3241  0.0000 (multiplicity 4)
Hg  0.1321  0.6321  0.5000 (multiplicity 4)
P  0.0000  0.0000  0.5000 (multiplicity 2)

***

Entry 2:
An optimized crystal structure of ScMn2Nb2. Source: Alexandria, functional PBE.

* raw total energy: -88.5 eV per cell
* D(E_F): 1.079 states/eV per atom
* DFT formation energy: 0.11 eV/atom

a = 7.2644 Å, b = 7.2644 Å, c = 3.1942 Å
α = 90.00°, β = 90.00°, γ = 90.00°
Space group P4/mbm (No. 127)
Unique sites:
Sc  0.0000  0.0000  0.0000 (multiplicity 2)
Mn  0.1280  0.3720  0.0000 (multiplicity 4)
Nb  0.1615  0.6615  0.5000 (multiplicity 4)